Record 1
A plane-wave DFT calculation with PBE was carried out for a geometry-optimized PrDy2Ge structure.

POSCAR file:
```
PrDy2Ge
1.0
3.751 0.000 0.000
-1.875 3.248 0.000
0.000 0.000 29.753
Pr Dy Ge
3 6 3
Cartesian
0.000 0.000 0.000
0.000 2.165 19.835
1.875 1.083 9.918
0.000 0.000 6.871
0.000 0.000 22.882
0.000 2.165 12.964
0.000 2.165 26.706
1.875 1.083 3.046
1.875 1.083 16.789
0.000 0.000 14.876
0.000 2.165 4.959
1.875 1.083 24.794
```

Results
- space-group type = R-3m, No. 166
- E above lowest polymorph (meV/atom) = 60.6
- D(E_F) (states/eV/f.u.) = 5.0
- uncorrected energy (eV/cell) = -58.81
- energy relative to the elements (meV per atom) = -250.6

Record 2
A plane-wave DFT calculation with PBE was carried out for a geometry-optimized Y2Ga3Ni structure.

POSCAR file:
```
Y2Ga3Ni
1.0
3.676 0.000 0.000
0.000 4.295 0.000
0.000 0.000 7.534
Y Ga Ni
2 3 1
Cartesian
0.000 0.000 0.000
0.000 2.147 3.553
1.838 0.000 4.818
1.838 2.147 1.199
1.838 2.147 6.176
1.838 0.000 2.376
```

Results
- space-group type = Pmm2, No. 25
- D(E_F) (states/eV/f.u.) = 3.1
- uncorrected energy (eV/cell) = -31.69
- energy relative to the elements (meV per atom) = -650.7

Record 3
A plane-wave DFT calculation with PBE was carried out for a geometry-optimized PuB4Rh structure.

POSCAR file:
```
PuB4Rh
1.0
6.006 0.000 0.000
0.000 11.647 0.000
0.000 0.000 3.542
Pu B Rh
4 16 4
Cartesian
0.775 1.740 0.000
2.228 7.563 0.000
3.778 4.084 0.000
5.231 9.907 0.000
0.145 8.063 1.771
0.686 6.372 1.771
0.809 11.272 1.771
1.275 9.464 1.771
1.728 3.640 1.771
2.193 5.449 1.771
2.317 0.549 1.771
2.857 2.239 1.771
3.148 9.407 1.771
3.688 11.097 1.771
3.812 6.197 1.771
4.278 8.006 1.771
4.731 2.183 1.771
5.196 0.374 1.771
5.320 5.274 1.771
5.860 3.584 1.771
0.839 4.746 0.000
2.164 10.569 0.000
3.842 1.077 0.000
5.167 6.901 0.000
```

Results
- space-group type = Pbam, No. 55
- D(E_F) (states/eV/f.u.) = 7.7
- uncorrected energy (eV/cell) = -205.34
- energy relative to the elements (meV per atom) = -490.4

Record 4
A plane-wave DFT calculation with PBE was carried out for a geometry-optimized Ho3Ge4Os2 structure.

POSCAR file:
```
Ho3Ge4Os2
1.0
5.342 -2.181 0.000
5.342 2.181 0.000
-2.763 0.000 7.648
Ho Ge Os
3 4 2
Cartesian
0.000 0.000 0.000
3.201 0.000 2.305
4.719 0.000 5.343
-0.147 0.000 3.090
0.518 0.000 7.048
7.402 0.000 0.600
8.068 0.000 4.558
1.653 0.000 4.892
6.268 0.000 2.756
```

Results
- space-group type = C2/m, No. 12
- D(E_F) (states/eV/f.u.) = 4.0
- uncorrected energy (eV/cell) = -60.31
- energy relative to the elements (meV per atom) = -627.0

Record 5
A plane-wave DFT calculation with PBE was carried out for a geometry-optimized HgRuCl4 structure.

POSCAR file:
```
HgRuCl4
1.0
0.000 4.183 4.183
4.183 0.000 4.183
4.183 4.183 0.000
Hg Ru Cl
1 1 4
Cartesian
0.000 0.000 0.000
6.275 6.275 6.275
3.142 3.142 3.142
5.224 5.224 3.142
5.224 3.142 5.224
3.142 5.224 5.224
```

Results
- space-group type = F-43m, No. 216
- E_form (uncorrected) (eV per atom) = 0.99
- D(E_F) (states/eV/f.u.) = 10.3
- uncorrected energy (eV/cell) = -11.00

Record 6
A plane-wave DFT calculation with PBE was carried out for a geometry-optimized YHo2Mg5 structure.

POSCAR file:
```
YHo2Mg5
1.0
5.235 0.000 0.000
0.000 5.235 0.000
0.000 0.000 15.149
Y Ho Mg
2 4 10
Cartesian
0.000 0.000 0.000
2.617 2.617 7.575
0.000 0.000 3.883
0.000 0.000 11.266
2.617 2.617 3.692
2.617 2.617 11.458
0.000 0.000 7.575
0.000 2.617 1.825
0.000 2.617 5.750
0.000 2.617 9.399
0.000 2.617 13.325
2.617 0.000 1.825
2.617 0.000 5.750
2.617 0.000 9.399
2.617 0.000 13.325
2.617 2.617 0.000
```

Results
- space-group type = I4/mmm, No. 139
- D(E_F) (states/eV/f.u.) = 6.2
- uncorrected energy (eV/cell) = -48.36
- energy relative to the elements (meV per atom) = -73.6

Record 7
A plane-wave DFT calculation with PBE was carried out for a geometry-optimized Zn2SbPt structure.

POSCAR file:
```
Zn2SbPt
1.0
3.688 0.000 0.000
0.000 4.053 0.000
-1.703 0.000 4.958
Zn Sb Pt
2 1 1
Cartesian
0.000 0.000 0.000
0.120 2.026 4.383
1.884 0.000 2.329
0.055 2.026 1.621
```

Results
- space-group type = Pm, No. 6
- E_form (uncorrected) (eV per atom) = -0.17
- D(E_F) (states/eV/f.u.) = 1.3
- uncorrected energy (eV/cell) = -13.41

Record 8
A plane-wave DFT calculation with PBE was carried out for a geometry-optimized Ba4Hg2O structure.

POSCAR file:
```
Ba4Hg2O
1.0
9.950 0.000 0.000
0.000 8.146 0.000
0.000 0.000 14.590
Ba Hg O
16 8 4
Cartesian
0.338 2.037 1.117
1.786 0.053 5.003
1.786 4.020 5.003
1.922 2.037 8.542
3.053 6.110 1.246
3.189 4.126 12.298
3.189 8.093 12.298
4.637 6.110 8.412
5.313 2.037 6.178
6.762 0.053 2.292
6.762 4.020 2.292
6.897 2.037 13.344
8.028 6.110 6.049
8.164 4.126 9.587
8.164 8.093 9.587
9.612 6.110 13.474
0.280 2.037 12.003
1.075 6.110 8.076
3.900 2.037 0.780
4.696 6.110 4.707
5.255 2.037 9.883
6.050 6.110 13.810
8.875 2.037 6.515
9.671 6.110 2.588
2.159 6.110 13.453
2.816 2.037 6.158
7.134 6.110 8.432
7.791 2.037 1.137
```

Results
- space-group type = Pnma, No. 62
- E_form (uncorrected) (eV per atom) = -0.95
- E above lowest polymorph (meV/atom) = 0.0
- D(E_F) (states/eV/f.u.) = 7.1
- uncorrected energy (eV/cell) = -79.69

Record 9
A plane-wave DFT calculation with PBE was carried out for a geometry-optimized SmErTlBi structure.

POSCAR file:
```
SmErTlBi
1.0
7.737 0.000 0.000
0.000 7.737 0.000
0.000 0.000 7.737
Sm Er Tl Bi
4 4 4 4
Cartesian
0.000 0.000 0.000
0.000 3.869 3.869
3.869 0.000 3.869
3.869 3.869 0.000
0.000 0.000 3.869
0.000 3.869 0.000
3.869 0.000 0.000
3.869 3.869 3.869
1.934 1.934 5.803
1.934 5.803 1.934
5.803 1.934 1.934
5.803 5.803 5.803
1.934 1.934 1.934
1.934 5.803 5.803
5.803 1.934 5.803
5.803 5.803 1.934
```

Results
- space-group type = F-43m, No. 216
- D(E_F) (states/eV/f.u.) = 3.9
- uncorrected energy (eV/cell) = -68.69
- energy relative to the elements (meV per atom) = -410.7

Record 10
A plane-wave DFT calculation with PBE was carried out for a geometry-optimized SbTe4Mo2 structure.

POSCAR file:
```
SbTe4Mo2
1.0
5.871 0.000 0.000
0.000 5.871 0.000
0.000 0.000 13.469
Sb Te Mo
2 8 4
Cartesian
0.000 0.000 0.000
2.936 2.936 6.735
0.000 0.000 2.978
0.000 0.000 10.492
0.000 2.936 0.000
0.000 2.936 6.735
2.936 0.000 0.000
2.936 0.000 6.735
2.936 2.936 3.757
2.936 2.936 9.713
0.000 0.000 5.685
0.000 0.000 7.784
2.936 2.936 1.050
2.936 2.936 12.420
```

Results
- space-group type = I4/mmm, No. 139
- E_form (uncorrected) (eV per atom) = 0.73
- D(E_F) (states/eV/f.u.) = 6.7
- uncorrected energy (eV/cell) = -66.49

Record 11
A plane-wave DFT calculation with PBE was carried out for a geometry-optimized Zn2TcNi structure.

POSCAR file:
```
Zn2TcNi
1.0
2.702 0.000 0.000
-1.351 2.340 0.000
0.000 0.000 25.572
Zn Tc Ni
6 3 3
Cartesian
0.000 0.000 0.000
0.000 0.000 4.527
0.000 1.560 17.048
0.000 1.560 21.575
1.351 0.780 8.524
1.351 0.780 13.051
0.000 0.000 10.790
0.000 1.560 2.266
1.351 0.780 19.314
0.000 0.000 15.049
0.000 1.560 6.525
1.351 0.780 23.573
```

Results
- space-group type = R3m, No. 160
- E above lowest polymorph (meV/atom) = 55.6
- D(E_F) (states/eV/f.u.) = 3.4
- uncorrected energy (eV/cell) = -55.84
- energy relative to the elements (meV per atom) = 20.5

Record 12
A plane-wave DFT calculation with PBE was carried out for a geometry-optimized Sm2ScSi3Pt4 structure.

POSCAR file:
```
Sm2ScSi3Pt4
1.0
4.220 0.000 0.000
0.000 4.220 0.000
0.000 0.000 10.544
Sm Sc Si Pt
2 1 3 4
Cartesian
0.000 2.110 2.476
2.110 0.000 8.068
0.000 0.000 5.272
0.000 2.110 9.220
2.110 0.000 1.324
2.110 2.110 5.272
0.000 0.000 0.000
0.000 2.110 6.833
2.110 0.000 3.711
2.110 2.110 0.000
```

Results
- space-group type = P-4m2, No. 115
- E_form (uncorrected) (eV per atom) = -1.11
- D(E_F) (states/eV/f.u.) = 8.5
- uncorrected energy (eV/cell) = -67.26

Record 13
A plane-wave DFT calculation with PBE was carried out for a geometry-optimized KTe2Pb2 structure.

POSCAR file:
```
KTe2Pb2
1.0
4.775 0.000 0.000
0.000 4.775 0.000
0.000 0.000 16.173
K Te Pb
2 4 4
Cartesian
0.000 0.000 0.000
2.388 2.388 8.086
0.000 0.000 6.483
0.000 0.000 9.690
2.388 2.388 1.603
2.388 2.388 14.569
0.000 2.388 4.043
0.000 2.388 12.130
2.388 0.000 4.043
2.388 0.000 12.130
```

Results
- space-group type = I4/mmm, No. 139
- E_form (uncorrected) (eV per atom) = -0.38
- E above lowest polymorph (meV/atom) = 80.5
- D(E_F) (states/eV/f.u.) = 2.0
- uncorrected energy (eV/cell) = -33.39

Record 14
A plane-wave DFT calculation with PBE was carried out for a geometry-optimized CdPb2Au structure.

POSCAR file:
```
CdPb2Au
1.0
3.529 0.000 0.000
0.000 4.615 0.000
0.000 0.000 13.396
Cd Pb Au
2 4 2
Cartesian
0.000 0.000 0.000
1.764 2.307 6.698
0.000 2.307 2.489
0.000 2.307 10.907
1.764 0.000 4.209
1.764 0.000 9.187
0.000 0.000 6.698
1.764 2.307 0.000
```

Results
- space-group type = Immm, No. 71
- D(E_F) (states/eV/f.u.) = 1.9
- uncorrected energy (eV/cell) = -23.33
- energy relative to the elements (meV per atom) = -13.8

Record 15
A plane-wave DFT calculation with PBE was carried out for a geometry-optimized MgTa2Te structure.

POSCAR file:
```
MgTa2Te
1.0
4.881 0.000 0.000
0.000 4.881 0.000
0.000 0.000 3.248
Mg Ta Te
1 2 1
Cartesian
0.000 0.000 0.000
0.000 2.440 1.624
2.440 0.000 1.624
2.440 2.440 0.000
```

Results
- space-group type = P4/mmm, No. 123
- E_form (uncorrected) (eV per atom) = 0.51
- E above lowest polymorph (meV/atom) = 397.5
- D(E_F) (states/eV/f.u.) = 2.8
- uncorrected energy (eV/cell) = -26.39

Record 16
A plane-wave DFT calculation with PBE was carried out for a geometry-optimized Hf2Zn2Cu structure.

POSCAR file:
```
Hf2Zn2Cu
1.0
3.102 0.000 0.000
0.000 19.276 0.000
0.000 0.000 2.965
Hf Zn Cu
4 4 2
Cartesian
0.000 1.823 0.000
0.000 17.453 0.000
1.551 7.815 0.000
1.551 11.461 0.000
0.000 5.857 1.482
0.000 13.420 1.482
1.551 3.782 1.482
1.551 15.495 1.482
0.000 9.638 1.482
1.551 0.000 1.482
```

Results
- space-group type = Cmmm, No. 65
- E above lowest polymorph (meV/atom) = 107.3
- D(E_F) (states/eV/f.u.) = 4.2
- uncorrected energy (eV/cell) = -53.43
- energy relative to the elements (meV per atom) = -32.6

Record 17
A plane-wave DFT calculation with PBE was carried out for a geometry-optimized LaInRu structure.

POSCAR file:
```
LaInRu
1.0
3.415 0.000 0.000
0.000 3.415 0.000
0.000 0.000 11.904
La In Ru
2 2 2
Cartesian
0.000 0.000 0.000
1.708 1.708 5.952
0.000 0.000 8.608
1.708 1.708 2.656
0.000 0.000 4.107
1.708 1.708 10.059
```

Results
- space-group type = I4mm, No. 107
- D(E_F) (states/eV/f.u.) = 1.4
- uncorrected energy (eV/cell) = -35.08
- energy relative to the elements (meV per atom) = -199.7

Record 18
A plane-wave DFT calculation with PBE was carried out for a geometry-optimized Ag2RuRh structure.

POSCAR file:
```
Ag2RuRh
1.0
6.385 0.000 0.000
0.000 6.385 0.000
0.000 0.000 6.385
Ag Ru Rh
8 4 4
Cartesian
1.596 1.596 1.596
1.596 1.596 4.789
1.596 4.789 1.596
1.596 4.789 4.789
4.789 1.596 1.596
4.789 1.596 4.789
4.789 4.789 1.596
4.789 4.789 4.789
0.000 0.000 0.000
0.000 3.193 3.193
3.193 0.000 3.193
3.193 3.193 0.000
0.000 0.000 3.193
0.000 3.193 0.000
3.193 0.000 0.000
3.193 3.193 3.193
```

Results
- space-group type = Fm-3m, No. 225
- E above lowest polymorph (meV/atom) = 466.4
- D(E_F) (states/eV/f.u.) = 4.1
- uncorrected energy (eV/cell) = -78.49
- energy relative to the elements (meV per atom) = 676.9

Record 19
A plane-wave DFT calculation with PBE was carried out for a geometry-optimized Tl2H5Au4 structure.

POSCAR file:
```
Tl2H5Au4
1.0
4.877 0.000 0.000
1.818 5.090 0.000
1.759 1.195 7.257
Tl H Au
2 5 4
Cartesian
1.003 0.766 1.553
7.451 5.518 5.704
2.974 2.199 5.657
2.893 2.506 2.201
3.318 0.597 3.628
5.560 3.779 5.056
5.480 4.086 1.599
2.945 2.323 3.880
4.319 3.132 6.379
4.135 3.153 0.877
5.509 3.962 3.376
```

Results
- space-group type = P-1, No. 2
- D(E_F) (states/eV/f.u.) = 1.8
- uncorrected energy (eV/cell) = -32.88

Record 20
A plane-wave DFT calculation with PBE was carried out for a geometry-optimized LiCePt2 structure.

POSCAR file:
```
LiCePt2
1.0
4.314 0.000 0.000
-2.157 3.736 0.000
0.000 0.000 14.225
Li Ce Pt
3 3 6
Cartesian
0.000 0.000 0.000
0.000 2.491 9.483
2.157 1.245 4.742
0.000 0.000 7.113
0.000 2.491 2.371
2.157 1.245 11.854
0.000 0.000 3.970
0.000 0.000 10.255
0.000 2.491 5.514
0.000 2.491 13.453
2.157 1.245 0.772
2.157 1.245 8.711
```

Results
- space-group type = R-3m, No. 166
- D(E_F) (states/eV/f.u.) = 4.8
- uncorrected energy (eV/cell) = -70.21
- energy relative to the elements (meV per atom) = -868.2